An optimized crystal structure of KN2F8. Source: the Alexandria database, functional GGA-PBE.

Unit cell a=5.137 b=5.137 c=6.955 alpha=105.71 beta=105.71 gamma=68.66
Element x y z (fractional)
K1 0.000 0.000 0.000
N1 0.229 0.229 0.733
N2 0.771 0.771 0.267
F1 0.098 0.499 0.224
F2 0.174 0.174 0.526
F3 0.400 0.400 0.781
F4 0.499 0.098 0.224
F5 0.501 0.902 0.776
F6 0.600 0.600 0.219
F7 0.826 0.826 0.474
F8 0.902 0.501 0.776

Output
- magnetization (μB/atom) = 0.053
- density of states at the Fermi level (states/eV per cell) = 3.2
- ΔE_f (raw) (eV per formula unit) = -7.508



An optimized crystal structure of KNF3. Source: the Alexandria database, functional GGA-PBE.

Unit cell a=6.527 b=7.305 c=9.368 alpha=90.00 beta=129.26 gamma=90.00
Element x y z (fractional)
K1 0.173 0.090 0.253
K2 0.173 0.410 0.753
K3 0.827 0.590 0.247
K4 0.827 0.910 0.747
N1 0.496 0.570 0.463
N2 0.496 0.930 0.963
N3 0.504 0.070 0.037
N4 0.504 0.430 0.537
F1 0.173 0.182 0.977
F2 0.173 0.318 0.477
F3 0.325 0.703 0.969
F4 0.325 0.797 0.469
F5 0.351 0.549 0.278
F6 0.351 0.951 0.778
F7 0.649 0.049 0.222
F8 0.649 0.451 0.722
F9 0.675 0.203 0.531
F10 0.675 0.297 0.031
F11 0.827 0.682 0.523
F12 0.827 0.818 0.023

Output
- magnetization (μB/atom) = 0.010
- energy relative to the lowest polymorph listed for this composition (meV per atom) = 0
- ΔE_f (raw) (eV per formula unit) = -5.196



An optimized crystal structure of KN2F. Source: the Alexandria database, functional GGA-PBE.

Unit cell a=5.503 b=5.503 c=5.503 alpha=49.10 beta=49.10 gamma=49.10
Element x y z (fractional)
K1 0.000 0.000 0.000
N1 0.378 0.378 0.378
N2 0.622 0.622 0.622
F1 0.500 0.500 0.500

Output
- magnetization (μB/atom) = 1.000
- density of states at the Fermi level (states/eV per cell) = 1.9
- energy relative to the lowest polymorph listed for this composition (meV per atom) = 1033
- ΔE_f (raw) (eV per formula unit) = 6.027



An optimized crystal structure of KN2F11. Source: the Alexandria database, functional GGA-PBE.

Unit cell a=8.497 b=8.497 c=8.497 alpha=113.02 beta=108.71 gamma=106.74
Element x y z (fractional)
K1 0.250 0.250 0.000
K2 0.750 0.750 0.000
N1 0.217 0.720 0.937
N2 0.283 0.220 0.503
N3 0.717 0.780 0.497
N4 0.783 0.280 0.063
F1 0.000 0.500 0.500
F2 0.003 0.315 0.092
F3 0.140 0.014 0.364
F4 0.150 0.514 0.874
F5 0.183 0.316 0.499
F6 0.224 0.911 0.908
F7 0.276 0.185 0.688
F8 0.317 0.816 0.134
F9 0.350 0.224 0.364
F10 0.360 0.724 0.874
F11 0.497 0.589 0.312
F12 0.500 0.000 0.500
F13 0.503 0.411 0.688
F14 0.640 0.276 0.126
F15 0.650 0.776 0.636
F16 0.683 0.184 0.866
F17 0.724 0.815 0.312
F18 0.776 0.089 0.092
F19 0.817 0.684 0.501
F20 0.850 0.486 0.126
F21 0.860 0.986 0.636
F22 0.997 0.685 0.908

Output
- magnetization (μB/atom) = 0.087
- density of states at the Fermi level (states/eV per cell) = 15.9
- ΔE_f (raw) (eV per formula unit) = -5.690



An optimized crystal structure of K3NF6. Source: the Alexandria database, functional GGA-PBE.

Unit cell a=7.942 b=7.942 c=6.973 alpha=90.00 beta=90.00 gamma=95.98
Element x y z (fractional)
K1 0.044 0.956 0.500
K2 0.280 0.384 0.472
K3 0.384 0.280 0.972
K4 0.616 0.720 0.472
K5 0.720 0.616 0.972
K6 0.956 0.044 0.000
N1 0.308 0.692 0.902
N2 0.692 0.308 0.402
F1 0.144 0.196 0.739
F2 0.147 0.649 0.979
F3 0.196 0.144 0.239
F4 0.264 0.736 0.703
F5 0.351 0.853 0.979
F6 0.456 0.544 0.199
F7 0.544 0.456 0.699
F8 0.649 0.147 0.479
F9 0.736 0.264 0.203
F10 0.804 0.856 0.739
F11 0.853 0.351 0.479
F12 0.856 0.804 0.239

Output
- magnetization (μB/atom) = 0.027
- density of states at the Fermi level (states/eV per cell) = 0.0
- ΔE_f (raw) (eV per formula unit) = -17.333



An optimized crystal structure of K4NF2. Source: the Alexandria database, functional GGA-PBE.

Unit cell a=8.139 b=8.139 c=8.139 alpha=143.26 beta=143.26 gamma=52.94
Element x y z (fractional)
K1 0.000 0.500 0.500
K2 0.186 0.186 0.000
K3 0.500 0.000 0.500
K4 0.814 0.814 0.000
N1 0.000 0.000 0.000
F1 0.358 0.358 0.000
F2 0.642 0.642 0.000

Output
- magnetization (μB/atom) = 0.144
- density of states at the Fermi level (states/eV per cell) = 1.2
- ΔE_f (raw) (eV per formula unit) = -7.563



An optimized crystal structure of K2N2F. Source: the Alexandria database, functional GGA-PBE.

Unit cell a=7.329 b=7.329 c=3.465 alpha=90.00 beta=90.00 gamma=90.00
Element x y z (fractional)
K1 0.228 0.272 0.000
K2 0.272 0.772 0.000
K3 0.728 0.228 0.000
K4 0.772 0.728 0.000
N1 0.057 0.557 0.500
N2 0.443 0.057 0.500
N3 0.557 0.943 0.500
N4 0.943 0.443 0.500
F1 0.000 0.000 0.500
F2 0.500 0.500 0.500

Output
- magnetization (μB/atom) = 0.200
- density of states at the Fermi level (states/eV per cell) = 7.2
- energy relative to the lowest polymorph listed for this composition (meV per atom) = 145
- ΔE_f (raw) (eV per formula unit) = -5.020



An optimized crystal structure of K3NF. Source: the Alexandria database, functional GGA-PBE.

Unit cell a=5.029 b=5.029 c=5.029 alpha=90.00 beta=90.00 gamma=90.00
Element x y z (fractional)
K1 0.000 0.000 0.500
K2 0.000 0.500 0.000
K3 0.500 0.000 0.000
N1 0.500 0.500 0.500
F1 0.000 0.000 0.000

Output
- magnetization (μB/atom) = 0.200
- density of states at the Fermi level (states/eV per cell) = 5.7
- energy relative to the lowest polymorph listed for this composition (meV per atom) = 0
- ΔE_f (raw) (eV per formula unit) = -2.523



An optimized crystal structure of KNF3. Source: the Alexandria database, functional GGA-PBE.

Unit cell a=5.170 b=5.170 c=5.170 alpha=90.00 beta=90.00 gamma=90.00
Element x y z (fractional)
K1 0.000 0.000 0.000
N1 0.500 0.500 0.500
F1 0.000 0.000 0.500
F2 0.000 0.500 0.000
F3 0.500 0.000 0.000

Output
- magnetization (μB/atom) = 0.200
- density of states at the Fermi level (states/eV per cell) = 35.2
- energy relative to the lowest polymorph listed for this composition (meV per atom) = 1288
- ΔE_f (raw) (eV per formula unit) = 1.246



An optimized crystal structure of KNF6. Source: the Alexandria database, functional GGA-PBE.

Unit cell a=5.163 b=5.307 c=5.315 alpha=89.97 beta=62.30 gamma=62.30
Element x y z (fractional)
K1 0.000 0.000 0.000
N1 0.000 0.500 0.500
F1 0.202 0.367 0.665
F2 0.203 0.663 0.366
F3 0.292 0.218 0.221
F4 0.708 0.782 0.779
F5 0.797 0.337 0.634
F6 0.798 0.633 0.335

Output
- magnetization (μB/atom) = 0.000
- density of states at the Fermi level (states/eV per cell) = 0.0
- energy relative to the lowest polymorph listed for this composition (meV per atom) = 0
- ΔE_f (raw) (eV per formula unit) = -5.892



An optimized crystal structure of K6NF12. Source: the Alexandria database, functional GGA-PBE.

Unit cell a=7.181 b=7.181 c=7.181 alpha=97.97 beta=97.97 gamma=97.97
Element x y z (fractional)
K1 0.158 0.264 0.606
K2 0.264 0.606 0.158
K3 0.394 0.842 0.736
K4 0.606 0.158 0.264
K5 0.736 0.394 0.842
K6 0.842 0.736 0.394
N1 0.000 0.000 0.000
F1 0.015 0.943 0.761
F2 0.057 0.239 0.985
F3 0.149 0.587 0.482
F4 0.239 0.985 0.057
F5 0.413 0.518 0.851
F6 0.482 0.149 0.587
F7 0.518 0.851 0.413
F8 0.587 0.482 0.149
F9 0.761 0.015 0.943
F10 0.851 0.413 0.518
F11 0.943 0.761 0.015
F12 0.985 0.057 0.239

Output
- magnetization (μB/atom) = 0.161
- density of states at the Fermi level (states/eV per cell) = 8.6
- ΔE_f (raw) (eV per formula unit) = -32.371



An optimized crystal structure of K2NF5. Source: the Alexandria database, functional GGA-PBE.

Unit cell a=9.589 b=7.577 c=8.773 alpha=90.00 beta=113.14 gamma=90.00
Element x y z (fractional)
K1 0.081 0.191 0.408
K2 0.081 0.309 0.908
K3 0.393 0.091 0.806
K4 0.393 0.409 0.306
K5 0.607 0.591 0.694
K6 0.607 0.909 0.194
K7 0.919 0.691 0.092
K8 0.919 0.809 0.592
N1 0.302 0.605 0.746
N2 0.302 0.895 0.246
N3 0.698 0.105 0.754
N4 0.698 0.395 0.254
F1 0.095 0.089 0.691
F2 0.095 0.411 0.191
F3 0.161 0.534 0.635
F4 0.161 0.966 0.135
F5 0.250 0.748 0.814
F6 0.250 0.752 0.314
F7 0.344 0.018 0.377
F8 0.344 0.482 0.877
F9 0.409 0.182 0.094
F10 0.409 0.318 0.594
F11 0.591 0.682 0.406
F12 0.591 0.818 0.906
F13 0.656 0.518 0.123
F14 0.656 0.982 0.623
F15 0.750 0.248 0.686
F16 0.750 0.252 0.186
F17 0.839 0.034 0.865
F18 0.839 0.466 0.365
F19 0.905 0.589 0.809
F20 0.905 0.911 0.309

Output
- magnetization (μB/atom) = 0.024
- density of states at the Fermi level (states/eV per cell) = 0.0
- ΔE_f (raw) (eV per formula unit) = -12.165